Entry from Alexandria via LeMat-Bulk: a relaxed Y2MoO5 crystal (GGA+U).

Structure (extended XYZ):
```
32
Lattice="-1.602 -5.269 -2.184 -1.903 -1.911 6.007 -8.892 3.420 -1.729" Properties=species:S:1:pos:R:3 pbc="T T T"
Y -9.058 -0.630 0.545
Y -3.338 -3.131 1.549
Y -8.502 -3.782 -0.293
Y -2.390 -2.178 -1.444
Y -3.895 0.022 2.388
Y -10.007 -1.582 3.539
Y -4.843 -0.931 5.381
Y -7.554 -2.830 -3.287
Mo -5.633 -1.118 -0.336
Mo -6.763 -2.642 2.430
Mo -2.945 -6.416 2.439
Mo -9.451 2.656 -0.345
O -5.060 0.891 0.485
O -7.337 -4.652 1.609
O -11.196 -1.013 1.544
O -1.200 -2.747 0.550
O -7.661 -1.644 4.054
O -4.735 -2.117 -1.960
O -9.483 -1.399 -3.236
O -5.574 -2.959 0.688
O -2.913 -2.361 5.330
O -6.822 -0.801 1.406
O -2.075 -1.519 2.682
O -10.322 -2.242 -0.587
O -7.810 1.264 -0.268
O -4.586 -5.024 2.362
O -8.819 -2.612 1.789
O -3.578 -1.148 0.306
O -7.613 -1.636 -1.128
O -4.784 -2.124 3.222
O -8.952 0.500 2.736
O -3.445 -4.260 -0.642
```

Computed properties:
calculated volume = 378 Å³ per cell
energy = -67.57 eV/f.u.
magnetic moment = 0.250 μB/atom